No. 1
Entry from Alexandria via LeMat-Bulk: crystalline Ba8HIr3I4 at its relaxed geometry (PBE).

Geometry as POSCAR:
```
Ba8HIr3I4
1.0
-8.436 1.499 -3.228
2.452 -4.629 -8.558
1.160 -4.700 7.772
H I Ir Ba
1 4 3 8
Cartesian
1.226 -2.314 -4.279 H
-3.638 -1.600 2.272 I
0.580 -2.350 3.886 I
0.000 0.000 0.000 I
-4.218 0.750 -1.614 I
1.806 -4.664 -0.393 Ir
-2.412 -3.915 -2.007 Ir
-2.992 -1.565 -5.893 Ir
0.821 -7.365 0.740 Ba
-3.929 -4.341 -4.735 Ba
-1.549 -1.193 -3.187 Ba
-0.896 -3.488 0.721 Ba
-5.645 -0.465 -4.754 Ba
0.258 -5.082 -3.034 Ba
-3.276 -6.637 -0.827 Ba
-5.082 -2.747 -0.980 Ba
```

Output
spin magnetization = 0.0 μB/f.u.
calculated total energy = -64.21 eV per cell
mass density = 5.9 g/cm3

No. 2
Entry from Alexandria via LeMat-Bulk: crystalline Be2CrW2 at its relaxed geometry (PBE).

Geometry as POSCAR:
```
Be2CrW2
1.0
-3.061 -5.564 4.344
-5.470 -2.261 4.916
3.083 3.325 -6.216
Be W Cr
2 2 1
Cartesian
-3.326 -1.425 1.665 Be
-2.122 -3.076 1.379 Be
-3.366 -3.087 3.653 W
-5.166 -4.738 5.607 W
0.000 0.000 0.000 Cr
```

Output
spin magnetization = 0.0 μB/f.u.
calculated total energy = -40.78 eV per cell
mass density = 11.5 g/cm3

Question: The lowest calculated total energy belongs to which entry?
Answer: Ba8HIr3I4